1.
Here is a geometry-optimized BaCaNd structure from Alexandria via LeMat-Bulk. Energies are from GGA-PBE.

abc: 3.9600 3.9600 8.9412
angles: 102.79 102.79 90.00
Positions (direct):
Nd1 0.6733 0.6733 0.3466
Ca1 0.3211 0.3211 0.6422
Ba1 0.0056 0.0056 0.0112

Results
E above lowest polymorph ... 0.086 eV/atom
ΔE_f ... 0.14 eV/atom
Spin magnetization ... 0.0 μB per formula unit
Mass density ... 4.01 g/cm³

2.
Here is a geometry-optimized PaGe2F8 structure from Alexandria via LeMat-Bulk. Energies are from GGA-PBE.

abc: 5.1326 8.8070 8.8071
angles: 40.36 59.33 59.33
Positions (direct):
F1 0.4900 0.9088 0.9088
F2 0.5100 0.0912 0.0912
F3 0.0029 0.3682 0.8176
F4 0.9971 0.1824 0.6318
F5 0.9971 0.6318 0.1824
F6 0.4678 0.7193 0.7193
F7 0.0029 0.8176 0.3682
F8 0.5322 0.2807 0.2807
Pa1 0.0000 0.0000 0.0000
Ge1 0.8532 0.6994 0.6994
Ge2 0.1468 0.3006 0.3006

Results
Spin magnetization ... 1.0 μB per formula unit
E ... -5.9093 eV per atom
Mass density ... 4.05 g/cm³

3.
Here is a geometry-optimized KBa2CaIn structure from Alexandria via LeMat-Bulk. Energies are from GGA-PBE.

abc: 6.8895 6.8895 6.2600
angles: 90.00 90.00 90.00
Positions (direct):
K1 0.5000 0.5000 0.5000
Ca1 0.0000 0.0000 0.5000
In1 0.0000 0.0000 0.0000
Ba1 0.5000 0.0000 0.0000
Ba2 0.0000 0.5000 0.0000

Results
ΔE_f ... -0.03 eV/atom
Spin magnetization ... 0.0 μB per formula unit
Mass density ... 2.62 g/cm³

4.
Here is a geometry-optimized BaMg2Hg2 structure from Alexandria via LeMat-Bulk. Energies are from GGA-PBE.

abc: 4.5927 4.5927 6.9131
angles: 90.00 90.00 90.00
Positions (direct):
Hg1 0.5000 0.5000 0.2287
Hg2 0.5000 0.5000 0.7713
Ba1 0.0000 0.0000 0.0000
Mg1 0.0000 0.5000 0.5000
Mg2 0.5000 0.0000 0.5000

Results
E above lowest polymorph ... 0.022 eV/atom
ΔE_f ... -0.35 eV/atom
Spin magnetization ... 0.0 μB per formula unit
Mass density ... 6.69 g/cm³

5.
Here is a geometry-optimized LaPuCoPt structure from Alexandria via LeMat-Bulk. Energies are from GGA-PBE.

abc: 4.9777 4.9777 4.9777
angles: 60.00 60.00 60.00
Positions (direct):
Pu1 0.5000 0.5000 0.5000
Pt1 0.7500 0.7500 0.7500
Co1 0.2500 0.2500 0.2500
La1 0.0000 0.0000 0.0000

Results
ΔE_f ... -0.36 eV/atom
Spin magnetization ... 4.9 μB per formula unit
Mass density ... 12.13 g/cm³

6.
Here is a geometry-optimized LiMg2Re structure from Alexandria via LeMat-Bulk. Energies are from GGA-PBE.

abc: 9.8629 9.8629 9.8629
angles: 16.73 16.73 16.73
Positions (direct):
Re1 0.2500 0.2500 0.2500
Li1 0.7500 0.7500 0.7500
Mg1 0.9969 0.9969 0.9969
Mg2 0.5031 0.5031 0.5031

Results
E above lowest polymorph ... 0.019 eV/atom
ΔE_f ... 0.20 eV/atom
Spin magnetization ... 0.0 μB per formula unit
Mass density ... 5.79 g/cm³

no.,calculated volume (Å³ per cell)
1,133.2
2,216.4
3,297.1
4,145.8
5,87.2
6,69.3